Here is a relaxed HoTmGaSn crystal from the Alexandria database. Energies are from PBE.

Unit cell a=4.4189 b=4.1279 c=5.9442 alpha=90.00 beta=111.82 gamma=90.00
With the nearest neighbours (Å) after each atom.
Fractional coordinates of all 4 atoms:
Sn  0.4184  0.0000  0.8368  2 Ga 2.79, 4 Tm 3.10, 1 Ho 3.12
Ho  0.1356  0.0000  0.2712  4 Ga 3.07, 3 Sn 3.12-3.26
Ga  0.5887  0.5000  0.1774  2 Sn 2.79, 1 Tm 2.96, 4 Ho 3.07
Tm  0.8573  0.5000  0.7146  1 Ga 2.96, 4 Sn 3.10

Polymorph energy (0 for the lowest one)   0.0 meV/atom
N(E_F)   3.286 states/eV/cell
ΔE_f   -0.6749 eV per atom
Crystal system   orthorhombic
Spin magnetization   0.00 μB/f.u.